# K2YRu

Crystalline K2YRu at its relaxed geometry (GGA-PBE, the Alexandria database).

## Properties
M_tot: 1.4 μB/cell
ρ: 3620 kg/m³
SG: Cmmm, No. 65
excess energy over the best structure of this formula in the dataset: 0.693 eV/atom
uncorrected energy: -0.128 hartree per atom
E_form: 1.01 eV per atom

a b c (Å): 6.906 6.906 3.409
angles (deg): 90.00 90.00 130.83
Sites, in units of the cell vectors:
1 K 0.000 0.500 0.000
2 K 0.500 0.000 0.000
3 Y 0.000 0.000 0.500
4 Ru 0.500 0.500 0.500


# Zn2Fe2Pt

Crystalline Zn2Fe2Pt at its relaxed geometry (GGA-PBE, the Alexandria database).

## Properties
M_tot: 10.8 μB/cell
ρ: 10687 kg/m³
SG: P4/mbm, No. 127
excess energy over the best structure of this formula in the dataset: 0.000 eV/atom
uncorrected energy: -0.185 hartree per atom
E_form: 0.06 eV per atom

a b c (Å): 6.902 6.902 2.855
angles (deg): 90.00 90.00 90.00
Sites, in units of the cell vectors:
1 Zn 0.130 0.370 0.000
2 Zn 0.370 0.870 0.000
3 Zn 0.630 0.130 0.000
4 Zn 0.870 0.630 0.000
5 Fe 0.169 0.669 0.500
6 Fe 0.331 0.169 0.500
7 Fe 0.669 0.831 0.500
8 Fe 0.831 0.331 0.500
9 Pt 0.000 0.000 0.000
10 Pt 0.500 0.500 0.000


# TiMoN2

Crystalline TiMoN2 at its relaxed geometry (GGA-PBE, the Alexandria database).

## Properties
M_tot: 0.0 μB/cell
ρ: 5931 kg/m³
uncorrected formation energy: -0.563 eV/atom
SG: R-3m, No. 166
excess energy over the best structure of this formula in the dataset: 0.441 eV/atom
uncorrected energy: -0.346 hartree per atom

a b c (Å): 6.301 6.301 6.301
angles (deg): 27.82 27.82 27.82
Sites, in units of the cell vectors:
1 Ti 0.000 0.000 0.000
2 Mo 0.500 0.500 0.500
3 N 0.393 0.393 0.393
4 N 0.607 0.607 0.607


# Nd6TiSn10

Crystalline Nd6TiSn10 at its relaxed geometry (GGA-PBE, the Alexandria database).

## Properties
M_tot: 0.0 μB/cell
ρ: 7303 kg/m³
SG: P-31m, No. 162
uncorrected energy: -0.185 hartree per atom
E_form: -0.55 eV per atom

a b c (Å): 9.377 9.377 6.271
angles (deg): 90.00 90.00 120.00
Sites, in units of the cell vectors:
1 Nd 0.000 0.389 0.258
2 Nd 0.000 0.611 0.742
3 Nd 0.389 0.000 0.258
4 Nd 0.389 0.389 0.742
5 Nd 0.611 0.000 0.742
6 Nd 0.611 0.611 0.258
7 Ti 0.000 0.000 0.500
8 Sn 0.000 0.226 0.794
9 Sn 0.000 0.774 0.206
10 Sn 0.226 0.000 0.794
11 Sn 0.226 0.226 0.206
12 Sn 0.333 0.667 0.000
13 Sn 0.333 0.667 0.500
14 Sn 0.667 0.333 0.000
15 Sn 0.667 0.333 0.500
16 Sn 0.774 0.000 0.206
17 Sn 0.774 0.774 0.794


# Nd2Sm2Y4Th

Crystalline Nd2Sm2Y4Th at its relaxed geometry (GGA-PBE, the Alexandria database).

## Properties
M_tot: 0.0 μB/cell
ρ: 6520 kg/m³
SG: C2/m, No. 12
uncorrected energy: -0.213 hartree per atom
E_form: 0.00 eV per atom

a b c (Å): 9.642 9.642 9.665
angles (deg): 115.40 115.40 21.76
Sites, in units of the cell vectors:
1 Nd 0.163 0.163 0.004
2 Nd 0.837 0.837 0.996
3 Sm 0.352 0.352 0.336
4 Sm 0.648 0.648 0.664
5 Y 0.019 0.019 0.328
6 Y 0.316 0.316 0.666
7 Y 0.684 0.684 0.334
8 Y 0.981 0.981 0.672
9 Th 0.500 0.500 0.000


# Al2AsCl

Crystalline Al2AsCl at its relaxed geometry (GGA-PBE, the Alexandria database).

## Properties
M_tot: 0.0 μB/cell
ρ: 2824 kg/m³
uncorrected formation energy: -0.209 eV/atom
SG: Cm, No. 8
excess energy over the best structure of this formula in the dataset: 0.114 eV/atom
uncorrected energy: -0.136 hartree per atom

a b c (Å): 5.848 5.848 5.505
angles (deg): 106.11 106.11 32.42
Sites, in units of the cell vectors:
1 Al 0.000 0.000 0.000
2 Al 0.674 0.674 0.830
3 As 0.333 0.333 0.754
4 Cl 0.545 0.545 0.376


# CaGe3Sb

Crystalline CaGe3Sb at its relaxed geometry (GGA-PBE, the Alexandria database).

## Properties
M_tot: 0.0 μB/cell
ρ: 4113 kg/m³
uncorrected formation energy: 0.488 eV/atom
SG: Pm-3m, No. 221
excess energy over the best structure of this formula in the dataset: 0.000 eV/atom
uncorrected energy: -0.129 hartree per atom

a b c (Å): 5.352 5.352 5.352
angles (deg): 90.00 90.00 90.00
Sites, in units of the cell vectors:
1 Ca 0.000 0.000 0.000
2 Ge 0.000 0.500 0.500
3 Ge 0.500 0.000 0.500
4 Ge 0.500 0.500 0.000
5 Sb 0.500 0.500 0.500


# Pr2GaCu4Ge3

Crystalline Pr2GaCu4Ge3 at its relaxed geometry (GGA-PBE, the Alexandria database).

## Properties
M_tot: 0.0 μB/cell
ρ: 7582 kg/m³
SG: P-4m2, No. 115
uncorrected energy: -0.176 hartree per atom
E_form: -0.52 eV per atom

a b c (Å): 4.203 4.203 10.210
angles (deg): 90.00 90.00 90.00
Sites, in units of the cell vectors:
1 Pr 0.000 0.500 0.246
2 Pr 0.500 0.000 0.754
3 Ga 0.000 0.000 0.500
4 Cu 0.000 0.000 0.000
5 Cu 0.000 0.500 0.633
6 Cu 0.500 0.000 0.367
7 Cu 0.500 0.500 0.000
8 Ge 0.000 0.500 0.870
9 Ge 0.500 0.000 0.130
10 Ge 0.500 0.500 0.500


# Np2BeNi4P3

Crystalline Np2BeNi4P3 at its relaxed geometry (GGA-PBE, the Alexandria database).

## Properties
M_tot: 7.0 μB/cell
ρ: 9701 kg/m³
SG: P-4m2, No. 115
uncorrected energy: -0.278 hartree per atom
E_form: -0.66 eV per atom

a b c (Å): 3.869 3.869 9.271
angles (deg): 90.00 90.00 90.00
Sites, in units of the cell vectors:
1 Np 0.000 0.500 0.247
2 Np 0.500 0.000 0.753
3 Be 0.500 0.500 0.000
4 Ni 0.000 0.000 0.500
5 Ni 0.000 0.500 0.881
6 Ni 0.500 0.000 0.119
7 Ni 0.500 0.500 0.500
8 P 0.000 0.000 0.000
9 P 0.000 0.500 0.638
10 P 0.500 0.000 0.362


# MnNiMo2

Crystalline MnNiMo2 at its relaxed geometry (GGA-PBE, the Alexandria database).

## Properties
M_tot: 1.6 μB/cell
ρ: 9268 kg/m³
SG: P4/mmm, No. 123
excess energy over the best structure of this formula in the dataset: 0.029 eV/atom
uncorrected energy: -0.333 hartree per atom
E_form: 0.09 eV per atom

a b c (Å): 2.625 2.625 7.943
angles (deg): 90.00 90.00 90.00
Sites, in units of the cell vectors:
1 Mn 0.000 0.000 0.000
2 Ni 0.000 0.000 0.500
3 Mo 0.500 0.500 0.257
4 Mo 0.500 0.500 0.743


# HoInSe

Crystalline HoInSe at its relaxed geometry (GGA-PBE, the Alexandria database).

## Properties
M_tot: 0.0 μB/cell
ρ: 6876 kg/m³
uncorrected formation energy: -0.851 eV/atom
SG: Amm2, No. 38
uncorrected energy: -0.164 hartree per atom

a b c (Å): 13.200 3.893 3.893
angles (deg): 60.01 90.00 90.00
Sites, in units of the cell vectors:
1 Ho 0.184 0.000 0.000
2 Ho 0.816 0.000 0.000
3 In 0.000 0.667 0.667
4 In 0.500 0.998 0.998
5 Se 0.312 0.667 0.667
6 Se 0.688 0.667 0.667


# MgAuBr2

Crystalline MgAuBr2 at its relaxed geometry (GGA-PBE, the Alexandria database).

## Properties
M_tot: 0.0 μB/cell
ρ: 6888 kg/m³
uncorrected formation energy: -0.153 eV/atom
SG: Cmmm, No. 65
excess energy over the best structure of this formula in the dataset: 0.472 eV/atom
uncorrected energy: -0.081 hartree per atom

a b c (Å): 4.967 4.967 3.724
angles (deg): 90.00 90.00 90.08
Sites, in units of the cell vectors:
1 Mg 0.000 0.000 0.000
2 Au 0.500 0.500 0.000
3 Br 0.000 0.500 0.500
4 Br 0.500 0.000 0.500